(1)
BeIn2Au: optimized geometry, GGA-PBE.

a = 4.050 Å, b = 3.846 Å, c = 5.421 Å
α = 90.00°, β = 111.17°, γ = 90.00°
Fractional coordinates of all 4 atoms:
Be 0.000 0.000 0.000
In 0.430 0.500 0.850
In 0.737 0.000 0.471
Au 0.137 0.500 0.269

Computed properties:
- symmetry = Pm
- formation energy (eV/f.u.) = 0.11

(2)
Be2InAu2: optimized geometry, GGA-PBE.

a = 7.126 Å, b = 7.126 Å, c = 3.000 Å
α = 90.00°, β = 90.00°, γ = 90.00°
Fractional coordinates of all 10 atoms:
Be 0.123 0.377 0.000
Be 0.377 0.877 0.000
Be 0.623 0.123 0.000
Be 0.877 0.623 0.000
In 0.000 0.000 0.000
In 0.500 0.500 0.000
Au 0.160 0.660 0.500
Au 0.340 0.160 0.500
Au 0.660 0.840 0.500
Au 0.840 0.340 0.500

Computed properties:
- symmetry = P4/mbm
- formation energy (eV/f.u.) = 0.12

(3)
Be2InAu: optimized geometry, GGA-PBE.

a = 5.629 Å, b = 5.629 Å, c = 5.629 Å
α = 106.88°, β = 106.88°, γ = 114.79°
Fractional coordinates of all 8 atoms:
Be 0.084 0.125 0.459
Be 0.375 0.916 0.041
Be 0.666 0.625 0.541
Be 0.875 0.334 0.959
In 0.250 0.750 0.500
In 0.500 0.500 0.000
Au 0.000 0.000 0.000
Au 0.750 0.250 0.500

Computed properties:
- symmetry = I-42d
- formation energy (eV/f.u.) = 1.82

(4)
Be2InAu: optimized geometry, GGA-PBE.

a = 4.855 Å, b = 4.855 Å, c = 4.855 Å
α = 133.50°, β = 133.50°, γ = 67.87°
Fractional coordinates of all 4 atoms:
Be 0.000 0.000 0.000
Be 0.750 0.250 0.500
In 0.250 0.750 0.500
Au 0.500 0.500 0.000

Computed properties:
- symmetry = I-4m2
- formation energy (eV/f.u.) = 1.27

(5)
BeInAu3: optimized geometry, GGA-PBE.

a = 4.563 Å, b = 4.563 Å, c = 4.563 Å
α = 90.00°, β = 90.00°, γ = 90.00°
Fractional coordinates of all 5 atoms:
Be 0.000 0.000 0.000
In 0.500 0.500 0.500
Au 0.000 0.000 0.500
Au 0.000 0.500 0.000
Au 0.500 0.000 0.000

Computed properties:
- symmetry = Pm-3m
- formation energy (eV/f.u.) = 0.26

(6)
Be2InAu: optimized geometry, GGA-PBE.

a = 4.155 Å, b = 4.155 Å, c = 4.634 Å
α = 102.71°, β = 102.71°, γ = 58.41°
Fractional coordinates of all 4 atoms:
Be 0.186 0.186 0.058
Be 0.814 0.814 0.942
In 0.000 0.000 0.500
Au 0.500 0.500 0.000

Computed properties:
- symmetry = C2/m
- formation energy (eV/f.u.) = 0.38

(7)
BeInAu3: optimized geometry, GGA-PBE.

a = 6.595 Å, b = 6.595 Å, c = 4.743 Å
α = 90.00°, β = 90.00°, γ = 120.00°
Fractional coordinates of all 10 atoms:
Be 0.000 0.000 0.000
Be 0.000 0.000 0.500
In 0.333 0.667 0.250
In 0.667 0.333 0.750
Au 0.183 0.366 0.750
Au 0.183 0.817 0.750
Au 0.366 0.183 0.250
Au 0.634 0.817 0.750
Au 0.817 0.183 0.250
Au 0.817 0.634 0.250

Computed properties:
- symmetry = P6_3/mmc
- formation energy (eV/f.u.) = -0.57

(8)
BeIn2Au2: optimized geometry, GGA-PBE.

a = 6.678 Å, b = 6.678 Å, c = 4.481 Å
α = 90.00°, β = 90.00°, γ = 90.00°
Fractional coordinates of all 10 atoms:
Be 0.000 0.000 0.000
Be 0.500 0.500 0.000
In 0.159 0.341 0.500
In 0.341 0.841 0.500
In 0.659 0.159 0.500
In 0.841 0.659 0.500
Au 0.166 0.666 0.000
Au 0.334 0.166 0.000
Au 0.666 0.834 0.000
Au 0.834 0.334 0.000

Computed properties:
- symmetry = P4/mbm
- formation energy (eV/f.u.) = 0.28

(9)
Be4InAu: optimized geometry, GGA-PBE.

a = 4.691 Å, b = 4.691 Å, c = 4.691 Å
α = 60.00°, β = 60.00°, γ = 60.00°
Fractional coordinates of all 6 atoms:
Be 0.376 0.376 0.376
Be 0.376 0.376 0.873
Be 0.376 0.873 0.376
Be 0.873 0.376 0.376
In 0.000 0.000 0.000
Au 0.750 0.750 0.750

Computed properties:
- symmetry = F-43m
- formation energy (eV/f.u.) = 1.09

(10)
BeIn2Au: optimized geometry, GGA-PBE.

a = 4.725 Å, b = 4.725 Å, c = 3.743 Å
α = 90.00°, β = 90.00°, γ = 110.02°
Fractional coordinates of all 4 atoms:
Be 0.000 0.000 0.000
In 0.000 0.500 0.500
In 0.500 0.000 0.500
Au 0.500 0.500 0.000

Computed properties:
- symmetry = Cmmm
- formation energy (eV/f.u.) = 1.04

(11)
BeInAu2: optimized geometry, GGA-PBE.

a = 4.182 Å, b = 4.182 Å, c = 8.797 Å
α = 92.16°, β = 92.16°, γ = 91.52°
Fractional coordinates of all 8 atoms:
Be 0.246 0.246 0.373
Be 0.754 0.754 0.627
In 0.145 0.145 0.821
In 0.855 0.855 0.179
Au 0.248 0.752 0.500
Au 0.354 0.354 0.128
Au 0.646 0.646 0.872
Au 0.752 0.248 0.500

Computed properties:
- symmetry = C2/m
- formation energy (eV/f.u.) = -0.29

(12)
Be2InAu: optimized geometry, GGA-PBE.

a = 4.436 Å, b = 4.436 Å, c = 4.436 Å
α = 60.00°, β = 60.00°, γ = 60.00°
Fractional coordinates of all 4 atoms:
Be 0.000 0.000 0.000
Be 0.250 0.250 0.250
In 0.750 0.750 0.750
Au 0.500 0.500 0.500

Computed properties:
- symmetry = F-43m
- formation energy (eV/f.u.) = 1.92

Number 1: DOS at the Fermi energy 0.35 states/eV per atom, size of the total moment 0.000 μB/cell. Number 2: DOS at the Fermi energy 0.24 states/eV per atom, size of the total moment 0.000 μB/cell. Number 3: DOS at the Fermi energy 0.38 states/eV per atom, size of the total moment 0.000 μB/cell. Number 4: DOS at the Fermi energy 0.31 states/eV per atom, size of the total moment 0.000 μB/cell. Number 5: DOS at the Fermi energy 0.29 states/eV per atom, size of the total moment 0.000 μB/cell. Number 6: DOS at the Fermi energy 0.31 states/eV per atom, size of the total moment 0.000 μB/cell. Number 7: DOS at the Fermi energy 0.18 states/eV per atom, size of the total moment 0.000 μB/cell. Number 8: DOS at the Fermi energy 0.40 states/eV per atom, size of the total moment 0.000 μB/cell. Number 9: DOS at the Fermi energy 0.56 states/eV per atom, size of the total moment 0.000 μB/cell. Number 10: DOS at the Fermi energy 0.41 states/eV per atom, size of the total moment 0.000 μB/cell. Number 11: DOS at the Fermi energy 0.27 states/eV per atom, size of the total moment 0.000 μB/cell. Number 12: DOS at the Fermi energy 0.54 states/eV per atom, size of the total moment 0.000 μB/cell.